BiPd2Cl | PBE | optimized geometry

As for the energy relative to the elements, uncorrected: -0.07 eV per atom. The value obtained for the energy above the most stable polymorph in this dataset is 0.000 eV per atom. As for the total energy: -16.40 eV per cell. As for the space group: Fm-3m, No. 225. The theoretical density comes out at 9.74 g/cm³.

```
BiPd2Cl
1.0
0.000 3.391 3.391
3.391 0.000 3.391
3.391 3.391 0.000
Bi Pd Cl
1 2 1
Cartesian
0.000 0.000 0.000
1.696 1.696 1.696
5.087 5.087 5.087
3.391 3.391 3.391
```